# 1
Li3Fe5Ni2O12 GGA+U relaxed; E_tot = -5.840 eV/atom; space-group type = C2 (5); crystal system = monoclinic; calculated volume = 220 Å³/f.u.
1.0
5.1312 -0.0366 0.0228
-2.4999 4.4812 0.0228
0.7762 1.3111 9.5977
Li Fe Ni O
3 5 2 12
direct
0.6656 0.8436 0.7475
0.1564 0.3344 0.2525
0.0856 0.9144 0.5000
0.9173 0.0827 0.0000
0.5776 0.4224 0.0000
0.4288 0.5712 0.5000
0.4967 0.9976 0.2563
0.0024 0.5033 0.7437
0.7493 0.2507 0.5000
0.2434 0.7566 0.0000
0.8529 0.3501 0.1215
0.6499 0.1471 0.8785
0.9216 0.7606 0.8849
0.7263 0.5339 0.6095
0.4661 0.2737 0.3905
0.7754 0.9810 0.3855
0.5422 0.7312 0.1174
0.2394 0.0784 0.1151
0.3705 0.8249 0.6241
0.2688 0.4578 0.8826
0.0190 0.2246 0.6145
0.1751 0.6295 0.3759


# 2
Li8FeNi9O20 GGA+U relaxed; E_tot = -4.961 eV/atom; space-group type = P-1 (2); crystal system = triclinic; calculated volume = 348 Å³/f.u.
1.0
-5.4059 2.1211 2.8652
-2.2108 -7.1623 1.4329
2.3918 -2.5448 6.8082
Li Fe Ni O
8 1 9 20
direct
0.5000 0.5000 0.5000
0.0000 0.5000 0.0000
0.6885 0.2878 0.3090
0.2131 0.2891 0.7892
0.8976 0.0993 0.1007
0.1024 0.9007 0.8993
0.7869 0.7109 0.2108
0.3115 0.7122 0.6910
0.0000 0.0000 0.5000
0.0992 0.4029 0.3983
0.9008 0.5971 0.6017
0.6018 0.3994 0.9012
0.3027 0.2014 0.1990
0.7983 0.2004 0.7041
0.5000 0.0000 0.0000
0.2017 0.7996 0.2959
0.6973 0.7986 0.8010
0.3982 0.6006 0.0988
0.1791 0.5432 0.5428
0.8209 0.4568 0.4572
0.6735 0.5414 0.0479
0.3820 0.3760 0.3224
0.3265 0.4586 0.9521
0.0115 0.2555 0.2614
0.8769 0.3453 0.8493
0.7286 0.0553 0.5599
0.5899 0.1712 0.1176
0.5247 0.2599 0.7601
0.2714 0.9447 0.4401
0.2242 0.0531 0.0484
0.9274 0.8557 0.3506
0.0726 0.1443 0.6494
0.7758 0.9469 0.9516
0.4753 0.7401 0.2399
0.4101 0.8288 0.8824
0.1231 0.6547 0.1507
0.9885 0.7445 0.7386
0.6180 0.6240 0.6776


# 3
Li2FeNi2O6 GGA+U relaxed; E_tot = -5.169 eV/atom; space-group type = Cmce (64); crystal system = orthorhombic; calculated volume = 108 Å³/f.u.
1.0
-0.1613 2.7856 4.0504
-4.2203 -2.0695 -1.4482
2.0183 -8.0425 5.6115
Li Fe Ni O
4 2 4 12
direct
0.1313 0.6313 0.7500
0.3687 0.8687 0.2500
0.6313 0.1313 0.7500
0.8687 0.3687 0.2500
0.0000 0.0000 0.0000
0.5000 0.5000 0.5000
0.1654 0.8346 0.5000
0.3346 0.6654 0.0000
0.6654 0.3346 0.0000
0.8346 0.1654 0.5000
0.0294 0.6918 0.1080
0.9706 0.3082 0.8920
0.1918 0.5294 0.3920
0.4706 0.8082 0.6080
0.1692 0.1692 0.5953
0.3308 0.3308 0.0953
0.6692 0.6692 0.9047
0.3082 0.9706 0.8920
0.8308 0.8308 0.4047
0.5294 0.1918 0.3920
0.8082 0.4706 0.6080
0.6918 0.0294 0.1080


# 4
Li7Fe3NiP6O24 GGA+U relaxed; E_tot = -6.633 eV/atom; space-group type = R3 (146); crystal system = trigonal; calculated volume = 468 Å³/f.u.
1.0
-4.0258 5.6730 5.7965
-8.3675 -1.0755 3.2891
-1.9324 -1.9619 8.6260
Li Fe Ni P O
7 3 1 6 24
direct
0.5718 0.2308 0.8311
0.2308 0.8311 0.5718
0.1664 0.4204 0.7676
0.8311 0.5718 0.2308
0.7676 0.1664 0.4204
0.4204 0.7676 0.1664
0.0415 0.0415 0.0415
0.6436 0.6436 0.6436
0.8454 0.8454 0.8454
0.3498 0.3498 0.3498
0.1542 0.1542 0.1542
0.2468 0.5408 0.9538
0.9538 0.2468 0.5408
0.5408 0.9538 0.2468
0.4537 0.0396 0.7448
0.0396 0.7448 0.4537
0.7448 0.4537 0.0396
0.0294 0.6688 0.9879
0.3707 0.6431 0.7494
0.2883 0.3494 0.9486
0.1109 0.2942 0.5032
0.9879 0.0294 0.6688
0.7494 0.3707 0.6431
0.5032 0.1109 0.2942
0.6431 0.7494 0.3707
0.6452 0.0385 0.7139
0.3174 0.0000 0.9612
0.2942 0.5032 0.1109
0.0385 0.7139 0.6452
0.9486 0.2883 0.3494
0.6810 0.4997 0.8908
0.6688 0.9879 0.0294
0.3494 0.9486 0.2883
0.3565 0.2469 0.6211
0.4997 0.8908 0.6810
0.2469 0.6211 0.3565
0.8908 0.6810 0.4997
0.0000 0.9612 0.3174
0.7139 0.6452 0.0385
0.6211 0.3565 0.2469
0.9612 0.3174 0.0000


# 5
Li4Fe3NiP4O16 GGA+U relaxed; E_tot = -6.691 eV/atom; space-group type = Pm (6); crystal system = monoclinic; calculated volume = 298 Å³/f.u.
1.0
6.0459 0.0000 0.0000
0.0000 4.7445 -0.0087
0.0000 0.0386 10.3733
Li Fe Ni P O
4 3 1 4 16
direct
0.7489 0.9984 0.0012
0.2511 0.9984 0.0012
0.2492 0.4995 0.4977
0.7508 0.4995 0.4977
0.0000 0.4753 0.7796
0.5000 0.5246 0.2214
0.5000 0.9742 0.7176
0.0000 0.0164 0.2786
0.5000 0.0839 0.4048
0.5000 0.4171 0.9067
0.0000 0.5817 0.0984
0.0000 0.9193 0.5900
0.5000 0.2096 0.5430
0.7055 0.2174 0.3340
0.2945 0.2174 0.3340
0.0000 0.2428 0.5935
0.0000 0.2576 0.1036
0.7043 0.2831 0.8361
0.2957 0.2831 0.8361
0.5000 0.2935 0.0457
0.0000 0.7025 0.9594
0.2030 0.7197 0.1695
0.7970 0.7197 0.1695
0.5000 0.7410 0.9045
0.5000 0.7600 0.4031
0.2034 0.7836 0.6613
0.7966 0.7836 0.6613
0.0000 0.7971 0.4507


# 6
Li4FeNi3P4O16 GGA+U relaxed; E_tot = -6.411 eV/atom; space-group type = Pm (6); crystal system = monoclinic; calculated volume = 289 Å³/f.u.
1.0
-4.6449 -0.9911 -3.6073
-0.7697 -4.1537 2.1323
-6.1963 4.5756 6.7215
Li Fe Ni P O
4 1 3 4 16
direct
0.7511 0.9998 0.9980
0.2489 0.9998 0.9980
0.2503 0.4992 0.5029
0.7497 0.4992 0.5029
0.0000 0.9759 0.2779
0.5000 0.0159 0.7257
0.5000 0.4844 0.2221
0.0000 0.5170 0.7769
0.0000 0.0829 0.5980
0.0000 0.4184 0.0906
0.5000 0.5812 0.9055
0.5000 0.9186 0.4065
0.0000 0.2040 0.4568
0.7929 0.2218 0.6686
0.2071 0.2218 0.6686
0.5000 0.2429 0.3995
0.5000 0.2569 0.9004
0.7924 0.2822 0.1618
0.2076 0.2822 0.1618
0.0000 0.2953 0.9494
0.5000 0.7011 0.0471
0.2939 0.7217 0.8341
0.7061 0.7217 0.8341
0.0000 0.7425 0.0930
0.0000 0.7580 0.6018
0.2955 0.7772 0.3348
0.7045 0.7772 0.3348
0.5000 0.8014 0.5484